A plane-wave DFT calculation with GGA-PBE was carried out for crystalline TmZr2F11 at its relaxed geometry.

Properties
* magnetic moment: 0.000 Bohr magnetons per cell
* N(E_F): 0.000 states/eV/atom
* space-group type: Ibam (72)
* ΔE_f (raw): -3824.4 meV/atom

```
TmZr2F11
1.0
-2.231 -4.259 6.178
4.883 -0.083 6.666
-4.296 3.741 5.987
Tm Zr F
2 4 22
Direct
0.750 0.750 0.750
0.250 0.250 0.250
0.639 0.682 0.318
0.361 0.318 0.682
0.861 0.182 0.818
0.139 0.818 0.182
0.639 0.710 0.560
0.361 0.290 0.440
0.091 0.560 0.710
0.861 0.940 0.790
0.909 0.440 0.290
0.139 0.060 0.210
0.409 0.790 0.940
0.591 0.210 0.060
0.500 0.500 0.500
0.000 0.000 0.000
0.873 0.784 0.216
0.127 0.216 0.784
0.627 0.284 0.716
0.373 0.716 0.284
0.459 0.963 0.318
0.541 0.037 0.682
0.260 0.318 0.963
0.041 0.182 0.537
0.740 0.682 0.037
0.959 0.818 0.463
0.240 0.537 0.182
0.760 0.463 0.818
```